Crystalline NaLa2Se at its relaxed geometry. Source: the Alexandria database, functional PBE.

Output
The value obtained for the calculated density is 4.5 Mg/m³. Its formation energy without anion corrections is -11.60 kcal/mol of atoms. As for the crystal system: tetragonal. The density of states at the Fermi level comes out at 37.9 states/eV/cell.

Cell and atoms, written as CIF:
```
data_NaLa2Se
_chemical_formula_sum 'Na4 La8 Se4'
_space_group_name_H-M_alt 'I -4 2 d'
_space_group_IT_number 122
_space_group_name_Hall 'I -4 2bw'
_cell_length_a 8.9328
_cell_length_b 8.9328
_cell_length_c 6.9674
_cell_angle_alpha 90.00
_cell_angle_beta 90.00
_cell_angle_gamma 90.00
loop_
_atom_site_label
_atom_site_fract_x
_atom_site_fract_y
_atom_site_fract_z
Na1 0.0000 0.0000 0.0000
La1 0.1900 0.2500 0.6250
Se1 0.0000 0.0000 0.5000
```

***

Crystalline NaLaSe2 at its relaxed geometry. Source: the Alexandria database, functional PBE.

Output
The value obtained for the calculated density is 3.5 Mg/m³. Its formation energy without anion corrections is -34.80 kcal/mol of atoms. As for the crystal system: tetragonal. The density of states at the Fermi level comes out at 0.0 states/eV/cell.

Cell and atoms, written as CIF:
```
data_NaLaSe2
_chemical_formula_sum 'Na4 La4 Se8'
_space_group_name_H-M_alt 'I -4 2 d'
_space_group_IT_number 122
_space_group_name_Hall 'I -4 2bw'
_cell_length_a 6.7012
_cell_length_b 6.7012
_cell_length_c 13.5507
_cell_angle_alpha 90.00
_cell_angle_beta 90.00
_cell_angle_gamma 90.00
loop_
_atom_site_label
_atom_site_fract_x
_atom_site_fract_y
_atom_site_fract_z
Na1 0.0000 0.0000 0.0000
La1 0.0000 0.0000 0.5000
Se1 0.2410 0.2500 0.6250
```

***

Crystalline Na2La3SmSe6 at its relaxed geometry. Source: the Alexandria database, functional PBE.

Output
The value obtained for the calculated density is 5.4 Mg/m³. Its formation energy without anion corrections is -41.43 kcal/mol of atoms. As for the crystal system: monoclinic. The density of states at the Fermi level comes out at 8.2 states/eV/cell.

Cell and atoms, written as CIF:
```
data_Na2La3SmSe6
_chemical_formula_sum 'Na4 La6 Sm2 Se12'
_space_group_name_H-M_alt 'C 1 2/m 1'
_space_group_IT_number 12
_cell_length_a 7.4518
_cell_length_b 12.8891
_cell_length_c 7.3507
_cell_angle_alpha 90.00
_cell_angle_beta 109.69
_cell_angle_gamma 90.00
loop_
_space_group_symop_operation_xyz
'x,y,z'
'-x,-y,-z'
'-x,y,-z'
'x,-y,z'
'x+1/2,y+1/2,z'
'-x+1/2,-y+1/2,-z'
'-x+1/2,y+1/2,-z'
'x+1/2,-y+1/2,z'
loop_
_atom_site_label
_atom_site_fract_x
_atom_site_fract_y
_atom_site_fract_z
Na1 0.0000 0.1659 0.0000
La1 0.0000 0.0000 0.5000
La2 0.0000 0.3303 0.5000
Sm1 0.0000 0.5000 0.0000
Se1 0.2447 0.5000 0.7511
Se2 0.2458 0.3357 0.2440
```

***

Crystalline Na2LaSm3Se6 at its relaxed geometry. Source: the Alexandria database, functional PBE.

Output
The value obtained for the calculated density is 5.7 Mg/m³. Its formation energy without anion corrections is -40.67 kcal/mol of atoms. As for the crystal system: monoclinic. The density of states at the Fermi level comes out at 7.2 states/eV/cell.

Cell and atoms, written as CIF:
```
data_Na2LaSm3Se6
_chemical_formula_sum 'Na4 La2 Sm6 Se12'
_space_group_name_H-M_alt 'C 1 2/m 1'
_space_group_IT_number 12
_cell_length_a 7.2662
_cell_length_b 12.5790
_cell_length_c 7.4203
_cell_angle_alpha 90.00
_cell_angle_beta 109.02
_cell_angle_gamma 90.00
loop_
_space_group_symop_operation_xyz
'x,y,z'
'-x,-y,-z'
'-x,y,-z'
'x,-y,z'
'x+1/2,y+1/2,z'
'-x+1/2,-y+1/2,-z'
'-x+1/2,y+1/2,-z'
'x+1/2,-y+1/2,z'
loop_
_atom_site_label
_atom_site_fract_x
_atom_site_fract_y
_atom_site_fract_z
Na1 0.0000 0.1663 0.0000
La1 0.0000 0.5000 0.0000
Sm1 0.0000 0.0000 0.5000
Sm2 0.0000 0.3322 0.5000
Se1 0.2474 0.1672 0.7440
Se2 0.2481 0.5000 0.7421
```